## MnGa3Ge (GGA-PBE)

Data for a relaxed structure of MnGa3Ge.

Uncorrected energy = -0.3099 Ry/atom
Calculated formation energy = 1.79 eV per formula unit
Energy above the most stable polymorph in this dataset = 0 meV per atom
Space group = Pm-3m, No. 221

Cell lengths 4.632, 4.632, 4.632 Å; angles 90.00, 90.00, 90.00 degrees
Fractional coordinates of all 5 atoms:
Ge  0.500  0.500  0.500
Mn  0.000  0.000  0.000
Ga  0.000  0.500  0.000
Ga  0.000  0.000  0.500
Ga  0.500  0.000  0.000